First-principles (PBE-GGA) data for crystalline NdS2 at its relaxed geometry, as listed in Alexandria via LeMat-Bulk. Values from VASP.

Cell and atoms, written as Quantum ESPRESSO input:
```
&SYSTEM
  ibrav = 0, nat = 12, ntyp = 2
/
ATOMIC_SPECIES
Nd 144.24 Nd.upf
S 32.06 S.upf
ATOMIC_POSITIONS angstrom
Nd 1.775 0.345 1.288
Nd 1.775 3.519 3.863
Nd 5.500 4.208 1.288
Nd 5.500 7.382 3.863
S 0.770 0.845 3.863
S 0.770 3.019 1.288
S 3.233 5.795 0.000
S 3.233 5.795 2.575
S 4.042 1.932 0.000
S 4.042 1.932 2.575
S 6.505 4.708 3.863
S 6.505 6.882 1.288
CELL_PARAMETERS angstrom
7.275 0.000 0.000
0.000 7.727 0.000
0.000 0.000 5.150
```

Density of states at the Fermi level, states/eV/atom: 0.538
Calculated density, g cm⁻³: 4.78
Formation energy from raw total energies, eV/atom: -1.66
Energy, eV per atom: -5.9996
V, Å³/atom: 24.13



First-principles (PBE-GGA) data for crystalline KLa2CoPb at its relaxed geometry, as listed in Alexandria via LeMat-Bulk. Values from VASP.

Cell and atoms, written as Quantum ESPRESSO input:
```
&SYSTEM
  ibrav = 0, nat = 5, ntyp = 4
/
ATOMIC_SPECIES
K 39.10 K.upf
La 138.91 La.upf
Co 58.93 Co.upf
Pb 207.20 Pb.upf
ATOMIC_POSITIONS angstrom
K 0.000 0.000 0.000
La 0.000 2.795 0.000
La 2.795 0.000 0.000
Co 2.795 2.795 2.803
Pb 0.000 0.000 2.803
CELL_PARAMETERS angstrom
5.590 0.000 0.000
0.000 5.590 0.000
0.000 0.000 5.606
```

Density of states at the Fermi level, states/eV/atom: 1.682
Formation energy, eV per formula unit: 7.87
Calculated density, g cm⁻³: 5.53
Energy, eV per atom: -2.7792
V, Å³/atom: 35.04



First-principles (PBE-GGA) data for crystalline Mg6CoSi at its relaxed geometry, as listed in Alexandria via LeMat-Bulk. Values from VASP.

Cell and atoms, written as Quantum ESPRESSO input:
```
&SYSTEM
  ibrav = 0, nat = 8, ntyp = 3
/
ATOMIC_SPECIES
Mg 24.30 Mg.upf
Co 58.93 Co.upf
Si 28.09 Si.upf
ATOMIC_POSITIONS angstrom
Mg 0.000 0.000 0.000
Mg 0.000 -1.468 2.683
Mg 0.000 0.000 5.131
Mg 0.000 1.468 2.683
Mg 2.377 -1.506 6.074
Mg 2.377 1.506 6.074
Co 2.377 0.000 3.504
Si 2.377 0.000 8.703
CELL_PARAMETERS angstrom
4.754 0.000 0.000
0.000 3.033 5.180
0.000 -3.033 5.180
```

Density of states at the Fermi level, states/eV/atom: 0.723
Calculated density, g cm⁻³: 2.59
Formation energy from raw total energies, eV/atom: 0.13
Polymorph energy (0 for the lowest one), meV/atom: 30
Energy, eV per atom: -2.6330
V, Å³/atom: 18.67



Number 1: magnetic moment 0.0000 μB per atom. Number 2: magnetic moment 0.0326 μB per atom. Number 3: magnetic moment 0.0904 μB per atom.